1.
ZrBe3Fe: relaxed, GGA-PBE.

Results
- Symmetry: Pm-3m (221)
- Excess energy over the best structure of this formula in the dataset: 927 kJ/mol of formula units
- ρ: 3154 kg/m3

Cell and atoms, written as extended XYZ:
```
5
Lattice="4.5087 0.0000 0.0000 0.0000 4.5087 0.0000 0.0000 0.0000 4.5087" Properties=species:S:1:pos:R:3 pbc="T T T"
Zr 0.0000 0.0000 0.0000
Be 0.0000 0.0000 2.2544
Be 0.0000 2.2544 0.0000
Be 2.2544 0.0000 0.0000
Fe 2.2544 2.2544 2.2544
```



2.
Sc2InTc: relaxed, GGA-PBE.

Results
- Symmetry: P4/mmm (123)
- ρ: 6477 kg/m3

Cell and atoms, written as extended XYZ:
```
4
Lattice="4.6221 0.0000 0.0000 0.0000 4.6221 0.0000 0.0000 0.0000 3.6329" Properties=species:S:1:pos:R:3 pbc="T T T"
Sc 0.0000 2.3111 0.0000
Sc 2.3111 0.0000 0.0000
In 0.0000 0.0000 1.8165
Tc 2.3111 2.3111 1.8165
```



3.
Ba2InAsP: relaxed, GGA-PBE.

Results
- Symmetry: P2_1/m (11)
- ρ: 4626 kg/m3

Cell and atoms, written as extended XYZ:
```
10
Lattice="8.1700 0.0000 0.0000 0.0000 4.3936 0.0000 -3.9937 0.0000 9.9076" Properties=species:S:1:pos:R:3 pbc="T T T"
Ba -0.2356 1.0984 4.0579
Ba -2.1013 1.0984 9.6703
Ba 6.2776 3.2952 0.2374
Ba 4.4119 3.2952 5.8497
In 0.7462 1.0984 7.6171
In 3.4301 3.2952 2.2905
As 0.8044 3.2952 1.9542
As 3.3718 1.0984 7.9534
P -0.5170 3.2952 6.7376
P 4.6932 1.0984 3.1701
```



| no. | E_form (eV per formula unit) | E_tot (eV/atom) | calculated volume (A^3/atom) |
| --- | --- | --- | --- |
| 1 | 9.87 | -3.664 | 18.33 |
| 2 | -1.08 | -6.713 | 19.40 |
| 3 | -3.54 | -4.038 | 35.56 |